# 1
This record from Alexandria via LeMat-Bulk describes MgMoPt after structural relaxation. The functional is PBE-GGA.

Values from the calculation:
Offset from the most stable computed form in meV/atom: 2097
Space-group type: P6_3/mmc, No. 194
Total moment in μB/f.u.: 2.7
Energy in eV/atom: -4.40

Cell and atoms, written as CIF:
```
data_MgMoPt
_chemical_formula_sum 'Mg2 Mo2 Pt2'
_symmetry_space_group_name_H-M 'P 1'
_symmetry_Int_Tables_number 1
_cell_length_a 4.888
_cell_length_b 4.888
_cell_length_c 9.495
_cell_angle_alpha 90.00
_cell_angle_beta 90.00
_cell_angle_gamma 120.00
loop_
_symmetry_equiv_pos_as_xyz
'x,y,z'
loop_
_atom_site_label
_atom_site_fract_x
_atom_site_fract_y
_atom_site_fract_z
_atom_site_occupancy
Mg1 0.333 0.667 0.250 1
Mg2 0.667 0.333 0.750 1
Mo1 0.000 0.000 0.250 1
Mo2 0.000 0.000 0.750 1
Pt1 0.000 0.000 0.000 1
Pt2 0.000 0.000 0.500 1
```



# 2
This record from Alexandria via LeMat-Bulk describes MgTa2Mn after structural relaxation. The functional is PBE-GGA.

Values from the calculation:
Space-group type: Cmmm, No. 65
Total moment in μB/f.u.: 0.5
Energy in eV/atom: -8.42

Cell and atoms, written as CIF:
```
data_MgTa2Mn
_chemical_formula_sum 'Mg1 Ta2 Mn1'
_symmetry_space_group_name_H-M 'P 1'
_symmetry_Int_Tables_number 1
_cell_length_a 2.857
_cell_length_b 2.857
_cell_length_c 8.835
_cell_angle_alpha 90.00
_cell_angle_beta 90.00
_cell_angle_gamma 108.47
loop_
_symmetry_equiv_pos_as_xyz
'x,y,z'
loop_
_atom_site_label
_atom_site_fract_x
_atom_site_fract_y
_atom_site_fract_z
_atom_site_occupancy
Ta1 0.000 0.000 0.538 1
Ta2 0.000 0.000 0.962 1
Mg1 0.500 0.500 0.250 1
Mn1 0.500 0.500 0.750 1
```



# 3
This record from Alexandria via LeMat-Bulk describes Ac3La2Y after structural relaxation. The functional is PBE-GGA.

Values from the calculation:
Offset from the most stable computed form in meV/atom: 0
Space-group type: P2_1/m, No. 11
Total moment in μB/f.u.: 0.0
Energy in eV/atom: -4.72

Cell and atoms, written as CIF:
```
data_Ac3La2Y
_chemical_formula_sum 'Ac6 La4 Y2'
_symmetry_space_group_name_H-M 'P 1'
_symmetry_Int_Tables_number 1
_cell_length_a 3.945
_cell_length_b 9.115
_cell_length_c 13.551
_cell_angle_alpha 89.83
_cell_angle_beta 90.00
_cell_angle_gamma 90.00
loop_
_symmetry_equiv_pos_as_xyz
'x,y,z'
loop_
_atom_site_label
_atom_site_fract_x
_atom_site_fract_y
_atom_site_fract_z
_atom_site_occupancy
Ac1 0.750 0.602 0.250 1
Ac2 0.250 0.337 0.054 1
Ac3 0.750 0.663 0.946 1
Ac4 0.250 0.398 0.750 1
Ac5 0.750 0.084 0.611 1
Ac6 0.250 0.916 0.389 1
La1 0.750 0.647 0.553 1
La2 0.250 0.921 0.110 1
La3 0.750 0.079 0.890 1
La4 0.250 0.353 0.447 1
Y1 0.250 0.810 0.746 1
Y2 0.750 0.190 0.254 1
```



# 4
This record from Alexandria via LeMat-Bulk describes CaCoRhS2 after structural relaxation. The functional is PBE-GGA.

Values from the calculation:
Raw formation energy in kJ/mol of formula units: 567.5
Space-group type: P4/mmm, No. 123
Total moment in μB/f.u.: 2.7
Energy in eV/atom: -3.77

Cell and atoms, written as CIF:
```
data_CaCoRhS2
_chemical_formula_sum 'Ca1 Co1 Rh1 S2'
_symmetry_space_group_name_H-M 'P 1'
_symmetry_Int_Tables_number 1
_cell_length_a 5.112
_cell_length_b 4.784
_cell_length_c 5.112
_cell_angle_alpha 90.00
_cell_angle_beta 90.00
_cell_angle_gamma 90.00
loop_
_symmetry_equiv_pos_as_xyz
'x,y,z'
loop_
_atom_site_label
_atom_site_fract_x
_atom_site_fract_y
_atom_site_fract_z
_atom_site_occupancy
S1 0.000 0.000 0.500 1
S2 0.500 0.000 0.000 1
Ca1 0.000 0.000 0.000 1
Rh1 0.000 0.500 0.000 1
Co1 0.500 0.500 0.500 1
```



# 5
This record from Alexandria via LeMat-Bulk describes Pm2DySn2 after structural relaxation. The functional is PBE-GGA.

Values from the calculation:
Offset from the most stable computed form in meV/atom: 0
Space-group type: P4/mbm, No. 127
Total moment in μB/f.u.: 0.0
Energy in eV/atom: -5.13

Cell and atoms, written as CIF:
```
data_Pm2DySn2
_chemical_formula_sum 'Pm4 Dy2 Sn4'
_symmetry_space_group_name_H-M 'P 1'
_symmetry_Int_Tables_number 1
_cell_length_a 4.508
_cell_length_b 8.147
_cell_length_c 8.147
_cell_angle_alpha 90.00
_cell_angle_beta 90.00
_cell_angle_gamma 90.00
loop_
_symmetry_equiv_pos_as_xyz
'x,y,z'
loop_
_atom_site_label
_atom_site_fract_x
_atom_site_fract_y
_atom_site_fract_z
_atom_site_occupancy
Sn1 0.000 0.131 0.369 1
Sn2 0.000 0.369 0.869 1
Sn3 0.000 0.869 0.631 1
Sn4 0.000 0.631 0.131 1
Pm1 0.500 0.829 0.329 1
Pm2 0.500 0.171 0.671 1
Pm3 0.500 0.329 0.171 1
Pm4 0.500 0.671 0.829 1
Dy1 0.000 0.000 0.000 1
Dy2 0.000 0.500 0.500 1
```



# 6
This record from Alexandria via LeMat-Bulk describes Ir3OsBr after structural relaxation. The functional is PBE-GGA.

Values from the calculation:
Offset from the most stable computed form in meV/atom: 497
Raw formation energy in kJ/mol of formula units: 1173.1
Space-group type: Pm-3m, No. 221
Total moment in μB/f.u.: 2.6
Energy in eV/atom: -5.47

Cell and atoms, written as CIF:
```
data_Ir3OsBr
_chemical_formula_sum 'Ir3 Os1 Br1'
_symmetry_space_group_name_H-M 'P 1'
_symmetry_Int_Tables_number 1
_cell_length_a 4.548
_cell_length_b 4.548
_cell_length_c 4.548
_cell_angle_alpha 90.00
_cell_angle_beta 90.00
_cell_angle_gamma 90.00
loop_
_symmetry_equiv_pos_as_xyz
'x,y,z'
loop_
_atom_site_label
_atom_site_fract_x
_atom_site_fract_y
_atom_site_fract_z
_atom_site_occupancy
Os1 0.500 0.500 0.500 1
Ir1 0.000 0.500 0.000 1
Ir2 0.500 0.000 0.000 1
Ir3 0.000 0.000 0.500 1
Br1 0.000 0.000 0.000 1
```



# 7
This record from Alexandria via LeMat-Bulk describes NaGaSe2 after structural relaxation. The functional is PBE-GGA.

Values from the calculation:
Raw formation energy in kJ/mol of formula units: -319.5
Space-group type: P1, No. 1
Total moment in μB/f.u.: 0.0
Energy in eV/atom: -3.66

Cell and atoms, written as CIF:
```
data_NaGaSe2
_chemical_formula_sum 'Na2 Ga2 Se4'
_symmetry_space_group_name_H-M 'P 1'
_symmetry_Int_Tables_number 1
_cell_length_a 6.347
_cell_length_b 6.615
_cell_length_c 7.122
_cell_angle_alpha 125.44
_cell_angle_beta 63.49
_cell_angle_gamma 118.65
loop_
_symmetry_equiv_pos_as_xyz
'x,y,z'
loop_
_atom_site_label
_atom_site_fract_x
_atom_site_fract_y
_atom_site_fract_z
_atom_site_occupancy
Se1 0.664 0.549 0.710 1
Se2 0.357 0.761 0.439 1
Se3 0.047 0.030 0.328 1
Se4 0.838 0.242 0.058 1
Na1 0.142 0.537 0.772 1
Na2 0.390 0.254 0.996 1
Ga1 0.687 0.117 0.371 1
Ga2 0.954 0.675 0.396 1
```



# 8
This record from Alexandria via LeMat-Bulk describes Be2MoRu after structural relaxation. The functional is PBE-GGA.

Values from the calculation:
Offset from the most stable computed form in meV/atom: 423
Space-group type: R3m, No. 160
Total moment in μB/f.u.: 0.0
Energy in eV/atom: -6.66

Cell and atoms, written as CIF:
```
data_Be2MoRu
_chemical_formula_sum 'Be2 Mo1 Ru1'
_symmetry_space_group_name_H-M 'P 1'
_symmetry_Int_Tables_number 1
_cell_length_a 8.130
_cell_length_b 8.130
_cell_length_c 8.130
_cell_angle_alpha 19.09
_cell_angle_beta 19.09
_cell_angle_gamma 19.09
loop_
_symmetry_equiv_pos_as_xyz
'x,y,z'
loop_
_atom_site_label
_atom_site_fract_x
_atom_site_fract_y
_atom_site_fract_z
_atom_site_occupancy
Mo1 0.502 0.502 0.502 1
Be1 0.256 0.256 0.256 1
Be2 0.998 0.998 0.998 1
Ru1 0.744 0.744 0.744 1
```



- Which of these has the lowest energy?
  MgTa2Mn



- Look up the energy of the sixth one.
  -5.47 eV/atom



- What is the energy in the seventh record?
  -3.66 eV/atom